This record from Alexandria via LeMat-Bulk describes a PBEsol-optimized structure of ZnCdBi2. The functional is SCAN.

Calculated values
The calculation puts the energy above the most stable polymorph in this dataset at 0.299 eV/f.u. The density of states at the Fermi level comes out at 0.52 states/eV/atom. For the volume, the calculation gives 98.9 Å³ per cell. The formation energy comes out at 0.2819 eV/atom. The value obtained for the spin magnetization is 0.00 μB/atom.

Lattice parameters (Å, degrees): 5.190 5.190 5.190 60.00 60.00 60.00
Fractional positions:
Cd 0.500 0.500 0.500
Bi 0.750 0.750 0.750
Bi 0.250 0.250 0.250
Zn 0.000 0.000 0.000